La8Ag | PBE-GGA | optimized geometry

a = 8.105 Å, b = 8.105 Å, c = 8.105 Å
α = 95.91°, β = 95.91°, γ = 142.57°
Atoms (fractional coordinates):
La 0.669 0.669 0.338
La 0.000 0.683 0.683
La 0.331 0.331 0.662
La 0.331 0.669 0.000
La 0.683 0.000 0.683
Ag 0.000 0.000 0.000
La 0.669 0.331 0.000
La 0.317 0.000 0.317
La 0.000 0.317 0.317

Calculated values
Magnetic moment in μB/f.u.: 0.00
Raw total energy in eV/atom: -4.69
V in Å³/f.u.: 306.5
Space group: I4/mmm